(1)
Here is crystalline V5Co2MoRu2 at its relaxed geometry from the Alexandria database. Energies are from GGA-PBE.

Structure (POSCAR):
```
V5Co2MoRu2
1.0
3.248 0.000 0.000
0.000 9.111 0.000
0.000 0.000 9.111
V Co Mo Ru
10 4 2 4
Cartesian
1.624 1.842 0.650
1.624 7.269 8.462
1.624 0.650 7.269
1.624 6.398 3.906
1.624 8.462 1.842
1.624 2.714 5.205
1.624 5.205 6.398
1.624 3.906 2.714
1.624 4.556 0.000
1.624 0.000 4.556
0.000 1.155 5.711
0.000 7.956 3.401
0.000 5.711 7.956
0.000 3.401 1.155
0.000 0.000 0.000
0.000 4.556 4.556
0.000 6.105 1.550
0.000 3.006 7.562
0.000 1.550 3.006
0.000 7.562 6.105
```

Values from the calculation:
* formation energy from the elements: 0.066 eV per atom
* volume: 269.60 Å³ per cell
* total energy: -8.853 eV/atom

(2)
Here is crystalline CoMoS2 at its relaxed geometry from the Alexandria database. Energies are from GGA-PBE.

Structure (POSCAR):
```
CoMoS2
1.0
-5.145 2.537 5.213
-2.708 1.906 7.009
-2.875 4.615 5.525
Mo Co S
1 1 2
Cartesian
-5.364 4.529 8.873
0.000 0.000 0.000
-9.721 8.207 16.079
-1.008 0.851 1.667
```

Values from the calculation:
* raw formation energy: -0.214 eV per atom
* volume: 62.49 Å³ per cell
* total energy: -6.762 eV/atom

(3)
Here is crystalline CoMoS2 at its relaxed geometry from the Alexandria database. Energies are from GGA-PBE.

Structure (POSCAR):
```
CoMoS2
1.0
-1.537 4.315 -2.486
-0.262 -2.668 -4.469
-5.712 -0.331 -2.507
Mo Co S
2 2 4
Cartesian
0.000 0.000 0.000
-4.074 2.404 -4.235
-0.899 0.823 -3.478
-3.436 -1.088 -5.227
-2.383 2.174 -2.678
-1.822 -1.104 -3.792
-4.965 0.303 -4.599
-5.851 1.258 -7.856
```

Values from the calculation:
* raw formation energy: -0.231 eV per atom
* volume: 137.00 Å³ per cell
* total energy: -6.779 eV/atom

(4)
Here is crystalline CoMoS3 at its relaxed geometry from the Alexandria database. Energies are from GGA-PBE.

Structure (POSCAR):
```
CoMoS3
1.0
-1.686 -3.824 2.092
3.803 -0.195 2.709
-2.129 2.679 3.182
Mo Co S
1 1 3
Cartesian
0.000 0.000 0.000
-0.006 -0.670 3.991
1.902 -0.098 1.354
-1.064 1.340 1.591
-0.843 -1.912 1.046
```

Values from the calculation:
* raw formation energy: 0.593 eV per atom
* volume: 102.05 Å³ per cell
* total energy: -5.471 eV/atom

The highest total energy belongs to which entry?
CoMoS3